DFT (PBE-GGA) results for a relaxed Pm2In6IrPd crystal.

a b c (Å): 10.2487 10.2487 10.2487
angles (deg): 90.00 90.00 90.00
With the nearest neighbours (Å) after each atom.
Space group Fm-3m (No. 225)
Inequivalent atoms, fractional coordinates:
Pm: 0.2500 0.2500 0.2500 x8  12 In 3.62
In: 0.0000 0.0000 0.2491 x24  1 Pd 2.55, 1 Ir 2.57
Ir: 0.0000 0.0000 0.5000 x4  6 In 2.57
Pd: 0.0000 0.0000 0.0000 x4  6 In 2.55

Properties
* density of states at the Fermi level: 0.845 states/eV per atom
* magnetization: 0.00 μB/f.u.
* energy: -4.155 eV/atom
* DFT formation energy: -0.156 eV per atom